Entry 1:
Material: Er3Pu3CuS8
Method: DFT, PBE
State: relaxed

abc: 7.7685 7.7686 7.7644
angles: 120.02 90.00 120.00
Last column: nearest neighbours and their distance in Å.
Element x y z (fractional)
Pu 0.0000 0.5000 0.0000  6 S 2.77
Pu 0.0000 0.0000 0.0000  6 S 2.77
Pu 0.5000 0.5000 0.0000  6 S 2.77
Cu 0.0000 0.0000 0.5000  6 S 2.68
S 0.2482 0.0045 0.2608  1 Cu 2.68, 2 Er 2.72, 2 Pu 2.77
S 0.7563 0.0045 0.2608  1 Cu 2.68, 2 Er 2.72, 2 Pu 2.77
S 0.7481 0.4962 0.7443  3 Er 2.73, 3 Pu 2.77
S 0.2519 0.5038 0.2557  3 Er 2.73, 3 Pu 2.77
S 0.7563 0.5127 0.2609  1 Cu 2.68, 2 Er 2.72, 2 Pu 2.77
S 0.2437 0.4873 0.7391  1 Cu 2.68, 2 Er 2.72, 2 Pu 2.77
S 0.7518 0.9955 0.7392  1 Cu 2.68, 2 Er 2.72, 2 Pu 2.77
S 0.2437 0.9955 0.7392  1 Cu 2.68, 2 Er 2.72, 2 Pu 2.77
Er 0.5000 0.5000 0.5000  6 S 2.72-2.73
Er 0.5000 0.0000 0.5000  6 S 2.72-2.73
Er 0.0000 0.5000 0.5000  6 S 2.72-2.73

Calculated values
Symmetry ... R-3m
Calculated density ... 7.79 g/cm3
VASP energy ... -7.906 eV/atom
Calculated volume ... 331 Å³ per cell
Formation energy without anion corrections ... -1.653 eV per atom



Entry 2:
Material: CdSb2
Method: DFT, PBE
State: relaxed

abc: 5.7495 5.7495 5.7495
angles: 147.09 128.22 62.73
Last column: nearest neighbours and their distance in Å.
Element x y z (fractional)
Cd 0.0000 0.0000 0.0000  2 Cd 3.26, 10 Sb 3.36-3.37
Sb 0.6583 0.6583 0.0000  3 Sb 3.11-3.26, 5 Cd 3.36-3.37
Sb 0.3417 0.3417 0.0000  3 Sb 3.11-3.26, 5 Cd 3.36-3.37

Calculated values
Symmetry ... Immm
Calculated density ... 7.36 g/cm3
VASP energy ... -2.845 eV/atom
Calculated volume ... 80 Å³ per cell
Formation energy without anion corrections ... 0.209 eV per atom